DFT (PBE) results for CsSn2Br8 after structural relaxation.

a b c (Å): 6.948 6.948 9.183
angles (deg): 90.00 90.00 90.00
Positions (direct):
Cs 0.500 0.500 0.500
Sn 0.500 0.000 0.000
Sn 0.000 0.500 0.000
Br 0.753 0.753 0.194
Br 0.753 0.247 0.806
Br 0.753 0.753 0.806
Br 0.753 0.247 0.194
Br 0.247 0.753 0.194
Br 0.247 0.753 0.806
Br 0.247 0.247 0.194
Br 0.247 0.247 0.806

DOS at the Fermi energy in states/eV per cell: 13.2

DFT (PBE) results for CsSnBr3 after structural relaxation.

a b c (Å): 4.593 9.988 17.060
angles (deg): 90.00 90.00 90.00
Positions (direct):
Cs 0.250 0.913 0.331
Cs 0.750 0.087 0.669
Cs 0.750 0.587 0.831
Cs 0.250 0.413 0.169
Sn 0.250 0.659 0.563
Sn 0.750 0.341 0.437
Sn 0.750 0.841 0.063
Sn 0.250 0.159 0.937
Br 0.750 0.206 0.294
Br 0.250 0.670 0.003
Br 0.250 0.023 0.116
Br 0.250 0.523 0.384
Br 0.250 0.170 0.497
Br 0.750 0.477 0.616
Br 0.250 0.294 0.794
Br 0.750 0.977 0.884
Br 0.750 0.330 0.997
Br 0.750 0.706 0.206
Br 0.750 0.830 0.503
Br 0.250 0.794 0.706

DOS at the Fermi energy in states/eV per cell: 0.0

DFT (PBE) results for Cs6Sn3Br14 after structural relaxation.

a b c (Å): 8.527 12.652 12.652
angles (deg): 120.00 90.00 90.00
Positions (direct):
Cs 0.269 0.798 0.074
Cs 0.269 0.926 0.723
Cs 0.269 0.277 0.202
Cs 0.740 0.537 0.589
Cs 0.740 0.411 0.948
Cs 0.740 0.052 0.463
Sn 0.828 0.000 0.000
Sn 0.306 0.333 0.667
Sn 0.485 0.667 0.333
Br 0.986 0.057 0.217
Br 0.986 0.783 0.840
Br 0.986 0.160 0.943
Br 0.471 0.266 0.451
Br 0.471 0.549 0.814
Br 0.471 0.186 0.734
Br 0.465 0.000 0.000
Br 0.938 0.333 0.667
Br 0.665 0.733 0.203
Br 0.665 0.797 0.530
Br 0.665 0.470 0.267
Br 0.309 0.602 0.465
Br 0.309 0.535 0.137
Br 0.309 0.863 0.398

DFT (PBE) results for Cs3Sn4Br12 after structural relaxation.

a b c (Å): 10.033 10.033 10.033
angles (deg): 109.47 109.47 109.47
Positions (direct):
Cs 0.500 0.500 0.000
Cs 0.000 0.500 0.500
Cs 0.500 0.000 0.500
Sn 0.500 0.500 0.500
Sn 0.500 0.000 0.000
Sn 0.000 0.000 0.500
Sn 0.000 0.500 0.000
Br 0.251 0.742 0.993
Br 0.749 0.258 0.007
Br 0.251 0.258 0.509
Br 0.258 0.007 0.749
Br 0.993 0.251 0.742
Br 0.491 0.749 0.742
Br 0.742 0.491 0.749
Br 0.007 0.749 0.258
Br 0.749 0.742 0.491
Br 0.742 0.993 0.251
Br 0.509 0.251 0.258
Br 0.258 0.509 0.251

DOS at the Fermi energy in states/eV per cell: 3.2

DFT (PBE) results for CsSn2Br5 after structural relaxation.

a b c (Å): 10.066 10.066 10.066
angles (deg): 129.48 129.48 74.24
Positions (direct):
Cs 0.250 0.250 0.000
Cs 0.750 0.750 0.000
Sn 0.184 0.684 0.867
Sn 0.684 0.816 0.500
Sn 0.316 0.184 0.500
Sn 0.816 0.316 0.133
Br 0.466 0.966 0.184
Br 0.217 0.717 0.184
Br 0.534 0.034 0.816
Br 0.034 0.217 0.500
Br 0.717 0.534 0.500
Br 0.966 0.783 0.500
Br 0.500 0.500 0.000
Br 0.000 0.000 0.000
Br 0.783 0.283 0.816
Br 0.283 0.466 0.500

DOS at the Fermi energy in states/eV per cell: 0.0

DFT (PBE) results for Cs3Sn2Br8 after structural relaxation.

a b c (Å): 8.425 8.425 11.157
angles (deg): 67.82 67.82 60.00
Positions (direct):
Cs 0.000 0.000 0.000
Cs 0.794 0.794 0.617
Cs 0.206 0.206 0.383
Sn 0.586 0.586 0.242
Sn 0.414 0.414 0.758
Br 0.675 0.675 0.974
Br 0.325 0.325 0.026
Br 0.195 0.748 0.310
Br 0.748 0.195 0.310
Br 0.748 0.748 0.310
Br 0.252 0.805 0.690
Br 0.805 0.252 0.690
Br 0.252 0.252 0.690

DOS at the Fermi energy in states/eV per cell: 8.4

DFT (PBE) results for CsSn2Br6 after structural relaxation.

a b c (Å): 7.739 7.739 7.753
angles (deg): 90.00 90.00 120.00
Positions (direct):
Cs 0.000 0.000 0.000
Sn 0.333 0.667 0.500
Sn 0.667 0.333 0.500
Br 0.620 0.000 0.290
Br 0.380 0.380 0.290
Br 0.000 0.620 0.290
Br 0.620 0.620 0.710
Br 0.000 0.380 0.710
Br 0.380 0.000 0.710

DOS at the Fermi energy in states/eV per cell: 8.8

DFT (PBE) results for Cs3Sn5Br12 after structural relaxation.

a b c (Å): 16.748 16.748 16.748
angles (deg): 109.47 109.47 109.47
Positions (direct):
Cs 0.750 0.375 0.125
Cs 0.875 0.750 0.125
Cs 0.375 0.750 0.625
Cs 0.250 0.125 0.375
Cs 0.875 0.125 0.250
Cs 0.375 0.625 0.250
Cs 0.625 0.375 0.750
Cs 0.125 0.875 0.750
Cs 0.750 0.875 0.625
Cs 0.625 0.250 0.375
Cs 0.125 0.250 0.875
Cs 0.250 0.625 0.875
Sn 0.125 0.375 0.250
Sn 0.000 0.500 0.000
Sn 0.000 0.000 0.000
Sn 0.375 0.250 0.125
Sn 0.500 0.000 0.500
Sn 0.500 0.500 0.000
Sn 0.125 0.750 0.375
Sn 0.750 0.125 0.875
Sn 0.750 0.625 0.375
Sn 0.375 0.125 0.750
Sn 0.625 0.875 0.250
Sn 0.500 0.500 0.500
Sn 0.500 0.000 0.000
Sn 0.000 0.000 0.500
Sn 0.250 0.375 0.625
Sn 0.250 0.875 0.125
Sn 0.000 0.500 0.500
Sn 0.875 0.250 0.625
Sn 0.625 0.750 0.875
Sn 0.875 0.625 0.750
Br 0.696 0.113 0.020
Br 0.324 0.520 0.407
Br 0.980 0.387 0.304
Br 0.520 0.196 0.113
Br 0.583 0.696 0.676
Br 0.980 0.593 0.176
Br 0.324 0.804 0.417
Br 0.093 0.917 0.113
Br 0.593 0.980 0.676
Br 0.696 0.583 0.176
Br 0.804 0.480 0.387
Br 0.824 0.907 0.020
Br 0.113 0.696 0.520
Br 0.387 0.407 0.083
Br 0.083 0.907 0.387
Br 0.417 0.113 0.593
Br 0.083 0.176 0.196
Br 0.480 0.676 0.093
Br 0.824 0.917 0.304
Br 0.113 0.417 0.093
Br 0.387 0.980 0.804
Br 0.593 0.613 0.417
Br 0.907 0.824 0.520
Br 0.804 0.324 0.917
Br 0.407 0.387 0.583
Br 0.093 0.176 0.480
Br 0.196 0.676 0.083
Br 0.176 0.083 0.696
Br 0.613 0.020 0.196
Br 0.887 0.583 0.907
Br 0.520 0.324 0.907
Br 0.583 0.887 0.407
Br 0.917 0.824 0.804
Br 0.917 0.093 0.613
Br 0.887 0.304 0.480
Br 0.176 0.093 0.980
Br 0.613 0.593 0.917
Br 0.407 0.020 0.324
Br 0.304 0.417 0.824
Br 0.196 0.520 0.613
Br 0.907 0.083 0.887
Br 0.676 0.196 0.583
Br 0.480 0.804 0.887
Br 0.020 0.407 0.824
Br 0.417 0.304 0.324
Br 0.020 0.613 0.696
Br 0.676 0.480 0.593
Br 0.304 0.887 0.980

DOS at the Fermi energy in states/eV per cell: 29.4

DFT (PBE) results for Cs3Sn2Br7 after structural relaxation.

a b c (Å): 5.829 5.940 15.015
angles (deg): 101.41 90.00 90.00
Positions (direct):
Cs 0.500 0.500 0.000
Cs 0.500 0.683 0.366
Cs 0.500 0.317 0.634
Sn 0.000 0.897 0.793
Sn 0.000 0.103 0.207
Br 0.000 0.400 0.801
Br 0.000 0.799 0.597
Br 0.000 0.000 0.000
Br 0.000 0.600 0.199
Br 0.500 0.102 0.203
Br 0.500 0.898 0.797
Br 0.000 0.201 0.403

DFT (PBE) results for CsSnBr2 after structural relaxation.

a b c (Å): 6.743 6.743 10.302
angles (deg): 70.90 70.90 90.00
Each line ends with the local moment (μB).
Positions (direct):
Cs 0.000 0.000 0.000  0.01
Cs 0.750 0.250 0.500  0.01
Sn 0.500 0.500 0.000  0.37
Sn 0.250 0.750 0.500  0.37
Br 0.544 0.125 0.250  0.01
Br 0.206 0.625 0.250  0.01
Br 0.375 0.456 0.750  0.01
Br 0.875 0.794 0.750  0.02

DOS at the Fermi energy in states/eV per cell: 1.0

DFT (PBE) results for Cs2Sn3Br8 after structural relaxation.

a b c (Å): 7.834 8.946 9.787
angles (deg): 117.20 105.91 90.00
Positions (direct):
Cs 0.325 0.266 0.532
Cs 0.675 0.734 0.468
Sn 0.500 0.000 0.000
Sn 0.000 0.257 0.000
Sn 0.000 0.743 0.000
Br 0.966 0.608 0.216
Br 0.034 0.392 0.784
Br 0.892 0.103 0.206
Br 0.108 0.897 0.794
Br 0.612 0.669 0.800
Br 0.612 0.131 0.800
Br 0.388 0.869 0.200
Br 0.388 0.331 0.200

DOS at the Fermi energy in states/eV per cell: 0.0

DFT (PBE) results for CsSnBr2 after structural relaxation.

a b c (Å): 5.860 5.860 5.860
angles (deg): 60.00 60.00 60.00
Positions (direct):
Cs 0.500 0.500 0.500
Sn 0.000 0.000 0.000
Br 0.250 0.250 0.250
Br 0.750 0.750 0.750

DOS at the Fermi energy in states/eV per cell: 3.1

Result set for E_form (uncorrected): -0.559; -1.214; -1.291; -1.106; -1.048; -1.173; -0.935; -0.980; -1.297; -0.804; -1.105; -0.709 eV/atom, one per record in the order listed.